Entry 1:
Entry from the Alexandria database: KBe2GaFe after structural relaxation (PBE-GGA).

Cell lengths 4.2938, 5.1931, 4.2938 Å; angles 90.00, 90.00, 90.00 degrees
Sites, in units of the cell vectors:
1 Be 0.5000 0.0000 0.0000
2 Be 0.0000 0.0000 0.5000
3 Fe 0.5000 0.5000 0.5000
4 K 0.0000 0.0000 0.0000
5 Ga 0.0000 0.5000 0.0000

## Properties
relative energy among the computed polymorphs = 1527 meV/atom
final energy = -1.30 eV per atom
space-group type = P4/mmm, No. 123
density of states at the Fermi level = 1.02 states/eV/atom


Entry 2:
Entry from the Alexandria database: KBe2GaFe after structural relaxation (PBE-GGA).

Cell lengths 4.2058, 5.0173, 4.2058 Å; angles 90.00, 90.00, 90.00 degrees
Site moments in Bohr magnetons follow the coordinates.
Sites, in units of the cell vectors:
1 K 0.0000 0.5000 0.0000  0.00
2 Be 0.0000 0.0000 0.5000  -0.01
3 Be 0.5000 0.0000 0.0000  -0.01
4 Fe 0.0000 0.0000 0.0000  0.16
5 Ga 0.5000 0.5000 0.5000  -0.01

## Properties
relative energy among the computed polymorphs = 0 meV/atom
final energy = -2.82 eV per atom
space-group type = P4/mmm, No. 123
density of states at the Fermi level = 0.35 states/eV/atom


Entry 3:
Entry from the Alexandria database: Be2GaFe5Mo2 after structural relaxation (PBE-GGA).

Cell lengths 2.9236, 8.7055, 8.7055 Å; angles 90.00, 90.00, 90.00 degrees
Site moments in Bohr magnetons follow the coordinates.
Sites, in units of the cell vectors:
1 Ga 0.0000 0.0000 0.0000  -0.02
2 Ga 0.0000 0.5000 0.5000  -0.02
3 Fe 0.5000 0.7879 0.9343  0.26
4 Fe 0.5000 0.0657 0.7879  0.26
5 Fe 0.5000 0.7121 0.4343  0.26
6 Fe 0.5000 0.5000 0.0000  0.08
7 Fe 0.5000 0.4343 0.2879  0.26
8 Fe 0.5000 0.0000 0.5000  0.08
9 Fe 0.5000 0.9343 0.2121  0.26
10 Fe 0.5000 0.2121 0.0657  0.26
11 Fe 0.5000 0.2879 0.5657  0.26
12 Fe 0.5000 0.5657 0.7121  0.26
13 Be 0.0000 0.1224 0.6224  -0.01
14 Be 0.0000 0.6224 0.8776  -0.01
15 Be 0.0000 0.8776 0.3776  -0.01
16 Be 0.0000 0.3776 0.1224  -0.01
17 Mo 0.0000 0.6751 0.1751  -0.07
18 Mo 0.0000 0.3249 0.8249  -0.07
19 Mo 0.0000 0.1751 0.3249  -0.07
20 Mo 0.0000 0.8249 0.6751  -0.07

## Properties
final energy = -7.47 eV per atom
space-group type = P4/mbm, No. 127
density of states at the Fermi level = 1.08 states/eV/atom


Entry 4:
Entry from the Alexandria database: BeGaFeMo after structural relaxation (PBE-GGA).

Cell lengths 4.0977, 4.0977, 4.0977 Å; angles 60.00, 60.00, 60.00 degrees
Site moments in Bohr magnetons follow the coordinates.
Sites, in units of the cell vectors:
1 Fe 0.7500 0.7500 0.7500  0.58
2 Ga 0.0000 0.0000 0.0000  -0.01
3 Mo 0.5000 0.5000 0.5000  0.18
4 Be 0.2500 0.2500 0.2500  0.03

## Properties
final energy = -6.50 eV per atom
space-group type = F-43m, No. 216
density of states at the Fermi level = 0.85 states/eV/atom


Entry 5:
Entry from the Alexandria database: BeGaFeNi after structural relaxation (PBE-GGA).

Cell lengths 3.9206, 3.9206, 3.9206 Å; angles 60.00, 60.00, 60.00 degrees
Site moments in Bohr magnetons follow the coordinates.
Sites, in units of the cell vectors:
1 Be 0.0000 0.0000 0.0000  0.00
2 Ga 0.5000 0.5000 0.5000  0.00
3 Ni 0.2500 0.2500 0.2500  0.00
4 Fe 0.7500 0.7500 0.7500  0.07

## Properties
final energy = -5.46 eV per atom
space-group type = F-43m, No. 216
density of states at the Fermi level = 0.59 states/eV/atom


Entry 6:
Entry from the Alexandria database: Sc2Be2GaFe5 after structural relaxation (PBE-GGA).

Cell lengths 3.4306, 8.5857, 8.5857 Å; angles 90.00, 90.00, 90.00 degrees
Site moments in Bohr magnetons follow the coordinates.
Sites, in units of the cell vectors:
1 Fe 0.5000 0.0663 0.7849  1.92
2 Fe 0.5000 0.5000 0.0000  1.54
3 Fe 0.5000 0.0000 0.5000  1.54
4 Fe 0.5000 0.2151 0.0663  1.92
5 Fe 0.5000 0.9337 0.2151  1.92
6 Fe 0.5000 0.7151 0.4337  1.92
7 Fe 0.5000 0.7849 0.9337  1.92
8 Fe 0.5000 0.4337 0.2849  1.92
9 Fe 0.5000 0.5663 0.7151  1.92
10 Fe 0.5000 0.2849 0.5663  1.92
11 Be 0.0000 0.3856 0.1144  -0.09
12 Be 0.0000 0.6144 0.8856  -0.09
13 Be 0.0000 0.8856 0.3856  -0.09
14 Be 0.0000 0.1144 0.6144  -0.09
15 Ga 0.0000 0.0000 0.0000  -0.07
16 Ga 0.0000 0.5000 0.5000  -0.07
17 Sc 0.0000 0.6785 0.1785  -0.32
18 Sc 0.0000 0.1785 0.3215  -0.32
19 Sc 0.0000 0.8215 0.6785  -0.32
20 Sc 0.0000 0.3215 0.8215  -0.32

## Properties
final energy = -6.72 eV per atom
space-group type = P4/mbm, No. 127
density of states at the Fermi level = 0.76 states/eV/atom


Entry 7:
Entry from the Alexandria database: Ta2Be2GaFe5 after structural relaxation (PBE-GGA).

Cell lengths 3.1608, 8.5950, 8.5950 Å; angles 90.00, 90.00, 90.00 degrees
Site moments in Bohr magnetons follow the coordinates.
Sites, in units of the cell vectors:
1 Fe 0.5000 0.7866 0.9334  1.14
2 Fe 0.5000 0.7134 0.4334  1.14
3 Fe 0.5000 0.4334 0.2866  1.14
4 Fe 0.5000 0.9334 0.2134  1.14
5 Fe 0.5000 0.0000 0.5000  0.81
6 Fe 0.5000 0.2866 0.5666  1.14
7 Fe 0.5000 0.2134 0.0666  1.14
8 Fe 0.5000 0.5666 0.7134  1.14
9 Fe 0.5000 0.5000 0.0000  0.81
10 Fe 0.5000 0.0666 0.7866  1.14
11 Be 0.0000 0.6196 0.8804  -0.06
12 Be 0.0000 0.3804 0.1196  -0.06
13 Be 0.0000 0.8804 0.3804  -0.06
14 Be 0.0000 0.1196 0.6196  -0.06
15 Ta 0.0000 0.3242 0.8242  -0.31
16 Ta 0.0000 0.1758 0.3242  -0.31
17 Ta 0.0000 0.6758 0.1758  -0.31
18 Ta 0.0000 0.8242 0.6758  -0.31
19 Ga 0.0000 0.5000 0.5000  -0.05
20 Ga 0.0000 0.0000 0.0000  -0.05

## Properties
final energy = -7.86 eV per atom
space-group type = P4/mbm, No. 127
density of states at the Fermi level = 0.82 states/eV/atom


Entry 8:
Entry from the Alexandria database: Ti2Be2GaFe5 after structural relaxation (PBE-GGA).

Cell lengths 3.2563, 8.4542, 8.4542 Å; angles 90.00, 90.00, 90.00 degrees
Site moments in Bohr magnetons follow the coordinates.
Sites, in units of the cell vectors:
1 Be 0.0000 0.8801 0.3801  -0.08
2 Be 0.0000 0.3801 0.1199  -0.08
3 Be 0.0000 0.1199 0.6199  -0.08
4 Be 0.0000 0.6199 0.8801  -0.08
5 Ti 0.0000 0.1752 0.3248  -0.65
6 Ti 0.0000 0.8248 0.6752  -0.65
7 Ti 0.0000 0.6752 0.1752  -0.65
8 Ti 0.0000 0.3248 0.8248  -0.65
9 Fe 0.5000 0.2137 0.0678  1.66
10 Fe 0.5000 0.7137 0.4322  1.66
11 Fe 0.5000 0.7863 0.9322  1.66
12 Fe 0.5000 0.5678 0.7137  1.66
13 Fe 0.5000 0.0000 0.5000  1.41
14 Fe 0.5000 0.2863 0.5678  1.66
15 Fe 0.5000 0.4322 0.2863  1.66
16 Fe 0.5000 0.5000 0.0000  1.41
17 Fe 0.5000 0.0678 0.7863  1.66
18 Fe 0.5000 0.9322 0.2137  1.66
19 Ga 0.0000 0.0000 0.0000  -0.06
20 Ga 0.0000 0.5000 0.5000  -0.06

## Properties
final energy = -7.09 eV per atom
space-group type = P4/mbm, No. 127
density of states at the Fermi level = 0.61 states/eV/atom